Entry from Alexandria: a relaxed NaGaC2O6 crystal (PBE).

Cell and atoms, written as POSCAR:
```
NaGaC2O6
1.0
-1.3551 3.1844 -3.2514
0.2254 -1.0795 -4.6186
-5.4461 -1.2440 -2.4160
O Ga C Na
6 1 2 1
Direct
0.9488 0.4916 0.2863
0.0512 0.5084 0.7137
0.5084 0.7268 0.7137
0.7268 0.0512 0.7137
0.2732 0.9488 0.2863
0.4916 0.2732 0.2863
0.5000 0.5000 0.5000
0.7640 0.7640 0.7079
0.2360 0.2360 0.2921
0.0000 0.0000 0.0000
```

Values from the calculation:
space group	R-3
V	106.1	Å³/f.u.
energy relative to the elements, uncorrected	-1608	meV per atom



Entry from Alexandria: a relaxed Na2GaPCO7 crystal (PBE).

Cell and atoms, written as POSCAR:
```
Na2GaPCO7
1.0
-4.0908 -4.4962 2.3897
0.3117 -2.6633 -4.4774
7.0417 -4.8275 2.9715
O Ga Na P C
14 2 4 2 2
Direct
0.4412 0.8044 0.3384
0.2500 0.3215 0.0487
0.2500 0.8576 0.5813
0.7500 0.5397 0.1923
0.0588 0.8044 0.3384
0.7500 0.9546 0.1405
0.7500 0.1424 0.4187
0.7500 0.6785 0.9513
0.2500 0.0454 0.8595
0.2500 0.4603 0.8077
0.7500 0.5739 0.5409
0.9412 0.1956 0.6616
0.5588 0.1956 0.6616
0.2500 0.4261 0.4591
0.7500 0.7837 0.3587
0.2500 0.2163 0.6413
0.5050 0.7659 0.7801
0.9950 0.7659 0.7801
0.0050 0.2341 0.2199
0.4950 0.2341 0.2199
0.2500 0.7254 0.4295
0.7500 0.2746 0.5705
0.7500 0.7257 0.0866
0.2500 0.2743 0.9134
```

Values from the calculation:
space group	P2_1/m
V	154.0	Å³/f.u.
energy relative to the elements, uncorrected	-1950	meV per atom



Entry from Alexandria: a relaxed RbNa2GaC crystal (PBE).

Cell and atoms, written as POSCAR:
```
RbNa2GaC
1.0
5.1244 0.0000 0.0000
0.0000 5.7142 0.0000
0.0000 0.0000 5.1244
Rb Na C Ga
1 2 1 1
Direct
0.0000 0.5000 0.0000
0.0000 0.0000 0.5000
0.5000 0.0000 0.0000
0.0000 0.0000 0.0000
0.5000 0.5000 0.5000
```

Values from the calculation:
calculated formation energy	1037	meV per atom
space group	P4/mmm
V	150.1	Å³/f.u.



Entry from Alexandria: a relaxed Na2GaCS crystal (PBE).

Cell and atoms, written as POSCAR:
```
Na2GaCS
1.0
5.1998 0.0000 0.0000
0.0000 5.0907 0.0000
0.0000 0.0000 5.1998
Na C S Ga
2 1 1 1
Direct
0.0000 0.0000 0.5000
0.5000 0.0000 0.0000
0.5000 0.5000 0.5000
0.0000 0.0000 0.0000
0.0000 0.5000 0.0000
```

Values from the calculation:
space group	P4/mmm
V	137.6	Å³/f.u.
energy relative to the elements, uncorrected	848	meV per atom



Entry from Alexandria: a relaxed Na2SrGaC crystal (PBE).

Cell and atoms, written as POSCAR:
```
Na2SrGaC
1.0
-6.1456 -0.6040 0.1816
0.1028 -2.0090 -3.2044
0.6080 -5.2000 3.2797
Na Ga C Sr
2 1 1 1
Direct
0.5000 0.0000 0.0000
0.0000 0.0000 0.5000
0.0000 0.0000 0.0000
0.0000 0.5000 0.0000
0.5000 0.5000 0.5000
```

Values from the calculation:
calculated formation energy	758	meV per atom
space group	P4/mmm
V	144.4	Å³/f.u.



Entry from Alexandria: a relaxed NaTaGaC2 crystal (PBE).

Cell and atoms, written as POSCAR:
```
NaTaGaC2
1.0
4.1945 0.0000 0.0000
0.0000 5.7388 0.0000
0.0000 0.0000 4.1945
C Na Ta Ga
2 1 1 1
Direct
0.0000 0.0000 0.5000
0.5000 0.0000 0.0000
0.0000 0.5000 0.0000
0.0000 0.0000 0.0000
0.5000 0.5000 0.5000
```

Values from the calculation:
calculated formation energy	1494	meV per atom
space group	P4/mmm
V	101.0	Å³/f.u.